The following is a PBEsol calculation of a relaxed Mn6O5F7 crystal, from the Alexandria database.

Unit cell a=9.0912 b=4.7281 c=4.7281 alpha=97.47 beta=90.00 gamma=90.00
Sites, in units of the cell vectors:
Mn 0.0000 0.0000 0.0000
Mn 0.1653 0.5007 0.5007
Mn 0.3234 0.0024 0.0024
Mn 0.5000 0.4690 0.4690
Mn 0.6766 0.0024 0.0024
Mn 0.8347 0.5007 0.5007
O 0.1635 0.1985 0.1985
O 0.1648 0.8033 0.8033
O 0.5000 0.1755 0.1755
O 0.8352 0.8033 0.8033
O 0.8365 0.1985 0.1985
F 0.0000 0.3094 0.6921
F 0.0000 0.6921 0.3094
F 0.3353 0.2994 0.6850
F 0.3353 0.6850 0.2994
F 0.5000 0.7855 0.7855
F 0.6647 0.2994 0.6850
F 0.6647 0.6850 0.2994

Volume in Å³ per cell: 202
E above lowest polymorph in meV/atom: 3
Formation energy (no corrections) in meV/atom: -1969